# LiTa4MnN8 (PBE, relaxed)
# spin magnetization = 3.98 μB/f.u.
# density = 9.01 g/cm3
# raw formation energy = -73.3 kJ/mol of atoms
data_LiTa4MnN8
_chemical_formula_sum 'Li3 Ta12 Mn3 N24'
_symmetry_space_group_name_H-M 'R 3 m'
_symmetry_Int_Tables_number 160
_symmetry_space_group_name_Hall 'R 3 -2"'
_cell_length_a 6.1912
_cell_length_b 6.1912
_cell_length_c 14.9564
_cell_angle_alpha 90.00
_cell_angle_beta 90.00
_cell_angle_gamma 120.00
loop_
_atom_site_label
_atom_site_type_symbol
_atom_site_fract_x
_atom_site_fract_y
_atom_site_fract_z
_atom_site_occupancy
Li1 Li 0.0000 0.0000 0.0000 1
Ta1 Ta 0.0000 0.0000 0.6215 1
Ta2 Ta 0.1706 0.3412 0.8331 1
Mn1 Mn 0.0000 0.0000 0.3810 1
N1 N 0.0000 0.0000 0.2461 1
N2 N 0.0000 0.0000 0.7576 1
N3 N 0.0048 0.5024 0.7623 1
N4 N 0.1728 0.3456 0.5802 1

# AcMgSn2Au4 (PBE, relaxed)
# formation energy = -543 meV/atom
# spin magnetization = 0.00 μB/f.u.
# density = 11.55 g/cm3
data_AcMgSn2Au4
_chemical_formula_sum 'Ac3 Mg3 Sn6 Au12'
_symmetry_space_group_name_H-M 'R -3 m'
_symmetry_Int_Tables_number 166
_symmetry_space_group_name_Hall '-R 3 2"'
_cell_length_a 4.7869
_cell_length_b 4.7869
_cell_length_c 27.7555
_cell_angle_alpha 90.00
_cell_angle_beta 90.00
_cell_angle_gamma 120.00
loop_
_atom_site_label
_atom_site_type_symbol
_atom_site_fract_x
_atom_site_fract_y
_atom_site_fract_z
_atom_site_occupancy
Ac1 Ac 0.0000 0.0000 0.0000 1
Mg1 Mg 0.0000 0.0000 0.5000 1
Sn1 Sn 0.0000 0.0000 0.2439 1
Au1 Au 0.0000 0.0000 0.1393 1
Au2 Au 0.0000 0.0000 0.3961 1

# BaY (PBE, relaxed)
# formation energy = 1267 meV/atom
# spin magnetization = 0.00 μB/f.u.
# density = 3.05 g/cm3
# relative energy among the computed polymorphs = 213.8 kJ/mol of formula units
data_BaY
_chemical_formula_sum 'Ba2 Y2'
_symmetry_space_group_name_H-M 'P 63/m m c'
_symmetry_Int_Tables_number 194
_symmetry_space_group_name_Hall '-P 6c 2c'
_cell_length_a 6.3628
_cell_length_b 6.3628
_cell_length_c 7.0166
_cell_angle_alpha 90.00
_cell_angle_beta 90.00
_cell_angle_gamma 120.00
loop_
_atom_site_label
_atom_site_type_symbol
_atom_site_fract_x
_atom_site_fract_y
_atom_site_fract_z
_atom_site_occupancy
Ba1 Ba 0.3333 0.6667 0.2500 1
Y1 Y 0.3333 0.6667 0.7500 1

# PuBi2AuO (PBE, relaxed)
# spin magnetization = 5.00 μB/f.u.
# density = 11.44 g/cm3
# raw formation energy = -103.3 kJ/mol of atoms
data_PuBi2AuO
_chemical_formula_sum 'Pu2 Bi4 Au2 O2'
_symmetry_space_group_name_H-M 'P 4/n m m'
_symmetry_Int_Tables_number 129
_cell_length_a 4.033
_cell_length_b 4.033
_cell_length_c 15.610
_cell_angle_alpha 90.00
_cell_angle_beta 90.00
_cell_angle_gamma 90.00
loop_
_symmetry_equiv_pos_as_xyz
'x,y,z'
'-x,-y,-z'
'-y+1/2,x,z'
'y+1/2,-x,-z'
'-x+1/2,-y+1/2,z'
'x+1/2,y+1/2,-z'
'y,-x+1/2,z'
'-y,x+1/2,-z'
'x+1/2,-y,-z'
'-x+1/2,y,z'
'-y,-x,-z'
'y,x,z'
'-x,y+1/2,-z'
'x,-y+1/2,z'
'y+1/2,x+1/2,-z'
'-y+1/2,-x+1/2,z'
loop_
_atom_site_label
_atom_site_type_symbol
_atom_site_fract_x
_atom_site_fract_y
_atom_site_fract_z
_atom_site_occupancy
Pu1 Pu 0.250 0.250 0.072 1
Bi1 Bi 0.250 0.250 0.429 1
Bi2 Bi 0.250 0.250 0.794 1
Au1 Au 0.250 0.250 0.616 1
O1 O 0.250 0.750 0.000 1

# Eu2PaH (PBE, relaxed)
# spin magnetization = 14.70 μB/f.u.
# density = 9.53 g/cm3
# energy = -8.17 eV/atom
data_Eu2PaH
_chemical_formula_sum 'Eu6 Pa3 H3'
_symmetry_space_group_name_H-M 'R -3 m'
_symmetry_Int_Tables_number 166
_symmetry_space_group_name_Hall '-R 3 2"'
_cell_length_a 3.3178
_cell_length_b 3.3178
_cell_length_c 29.3970
_cell_angle_alpha 90.00
_cell_angle_beta 90.00
_cell_angle_gamma 120.00
loop_
_atom_site_label
_atom_site_type_symbol
_atom_site_fract_x
_atom_site_fract_y
_atom_site_fract_z
_atom_site_occupancy
Eu1 Eu 0.0000 0.0000 0.1120 1
Pa1 Pa 0.0000 0.0000 0.0000 1
H1 H 0.0000 0.0000 0.5000 1

# AlAsSe2 (PBE, relaxed)
# spin magnetization = 0.00 μB/f.u.
# density = 5.65 g/cm3
# relative energy among the computed polymorphs = 183.9 kJ/mol of formula units
# raw formation energy = 16.0 kJ/mol of atoms
data_AlAsSe2
_chemical_formula_sum 'Al1 As1 Se2'
_symmetry_space_group_name_H-M 'P 4/m m m'
_symmetry_Int_Tables_number 123
_symmetry_space_group_name_Hall '-P 4 2'
_cell_length_a 3.344
_cell_length_b 3.344
_cell_length_c 6.829
_cell_angle_alpha 90.00
_cell_angle_beta 90.00
_cell_angle_gamma 90.00
loop_
_atom_site_label
_atom_site_type_symbol
_atom_site_fract_x
_atom_site_fract_y
_atom_site_fract_z
_atom_site_occupancy
Al1 Al 0.000 0.000 0.000 1
As1 As 0.000 0.000 0.500 1
Se1 Se 0.500 0.500 0.235 1